Entry 1:
An optimized crystal structure of MgAl2Pt, computed with PBE-GGA.

a = 7.861 Å, b = 7.861 Å, c = 6.134 Å
α = 50.15°, β = 50.15°, γ = 90.00°
Positions (direct):
Mg 0.500 0.500 0.000
Mg 0.250 0.750 0.500
Al 0.700 0.125 0.250
Al 0.050 0.625 0.250
Al 0.375 0.300 0.750
Al 0.875 0.950 0.750
Pt 0.000 0.000 0.000
Pt 0.750 0.250 0.500

Computed properties:
Electronic total energy (eV per formula unit): -16.4
D(E_F) (states/eV per cell): 4.2
Calculated formation energy (eV/atom): -0.312
Magnetic moment (μB per atom): 0.0000

=====

Entry 2:
An optimized crystal structure of Mg5AlPt6, computed with PBE-GGA.

a = 4.205 Å, b = 7.030 Å, c = 7.548 Å
α = 117.76°, β = 106.35°, γ = 90.00°
Positions (direct):
Mg 0.672 0.172 0.345
Mg 0.337 0.337 0.675
Mg 0.000 0.500 0.000
Mg 0.663 0.663 0.325
Mg 0.328 0.828 0.655
Al 0.000 0.000 0.000
Pt 0.836 0.595 0.672
Pt 0.836 0.078 0.672
Pt 0.500 0.768 0.000
Pt 0.500 0.232 0.000
Pt 0.164 0.922 0.328
Pt 0.164 0.405 0.328

Computed properties:
Electronic total energy (eV per formula unit): -59.0
D(E_F) (states/eV per cell): 3.0
Calculated formation energy (eV/atom): -0.920
Magnetic moment (μB per atom): 0.0000